# 1
Sc3NiPt2 PBE optimized geometry; size of the total moment = 0.000 Bohr magnetons per cell; SG = P-3m1
1.0
-3.1180 -0.9617 3.2600
4.4979 -0.0675 1.0192
-0.4677 10.9769 2.7908
Pt Sc Ni
4 6 2
direct
0.0000 0.0000 0.5000
0.3333 0.6667 0.1729
0.6667 0.3333 0.8271
0.0000 0.0000 0.0000
0.6667 0.3333 0.5820
0.6667 0.3333 0.0866
0.3333 0.6667 0.9134
0.3333 0.6667 0.4180
0.0000 0.0000 0.2543
0.0000 0.0000 0.7457
0.6667 0.3333 0.3320
0.3333 0.6667 0.6680

# 2
Sc2Ni2Pt PBE optimized geometry; size of the total moment = 0.000 Bohr magnetons per cell; SG = Immm
1.0
0.0678 -0.5429 4.9469
0.8042 -4.0855 2.7263
4.4159 -0.6592 2.5162
Ni Sc Pt
2 2 1
direct
0.4999 0.4999 0.7231
0.5001 0.5001 0.2769
0.2067 0.2067 0.2934
0.7933 0.7933 0.7066
0.0000 0.0000 0.0000

# 3
Sc2NiPt PBE optimized geometry; size of the total moment = 0.000 Bohr magnetons per cell; SG = P4mm
1.0
-2.9035 0.7602 2.0145
1.3594 -1.9702 2.7029
2.5920 4.5552 2.0167
Sc Ni Pt
2 1 1
direct
0.5000 0.5000 0.3109
0.0000 0.0000 0.9437
0.0000 0.0000 0.4488
0.5000 0.5000 0.7966

# 4
Sc6NiPt5 PBE optimized geometry; size of the total moment = 0.000 Bohr magnetons per cell; SG = P2/m
1.0
-4.4726 -1.2999 0.4670
1.7034 -6.1826 -0.8955
3.1181 -0.1095 6.6876
Pt Sc Ni
5 6 1
direct
0.3307 0.5000 0.6598
0.3367 0.0000 0.6729
0.0000 0.5000 0.0000
0.6633 0.0000 0.3271
0.6693 0.5000 0.3402
0.8361 0.7521 0.6711
0.5000 0.7527 0.0000
0.8361 0.2479 0.6711
0.1639 0.7521 0.3289
0.1639 0.2479 0.3289
0.5000 0.2473 0.0000
0.0000 0.0000 0.0000

The records above give, respectively, ΔH_f (0 K) values of -6.06, -3.57, -2.66, -13.53 eV per formula unit.